The following is a PBE calculation of KIn2Hg4Bi after structural relaxation, from Alexandria via LeMat-Bulk.

Cell: 5.895 5.895 7.030 Å, 90.00 90.00 90.00°
Fractional coordinates of all 8 atoms:
In 0.500 0.500 0.235
Hg 0.500 0.000 0.726
In 0.500 0.500 0.765
K 0.000 0.000 0.000
Hg 0.000 0.500 0.274
Hg 0.500 0.000 0.274
Bi 0.000 0.000 0.500
Hg 0.000 0.500 0.726

Results
Formation enthalpy at 0 K, kJ/mol of formula units: -44
Magnetic moment, μB per atom: 0.00
DOS at the Fermi energy, states/eV/f.u.: 2.96
Space group: P4/mmm (123)
Energy, eV/atom: -1.5146